First-principles (PBE-GGA) data for Ce11In9Os4 after structural relaxation, as listed in Alexandria via LeMat-Bulk.

The space group is Cmmm (No. 65) and the conventional cell measures 14.872, 21.459 and 3.786 Å, with angles of 90.00, 90.00 and 90.00 degrees. The distinct sites, in fractional coordinates, are Ce at (0.000, 0.000, 0.000), Ce at (0.000, 0.151, 0.000), Ce at (0.000, 0.373, 0.000), Ce at (0.184, 0.500, 0.000), Ce at (0.248, 0.326, 0.000), In at (0.000, 0.500, 0.500), In at (0.101, 0.259, 0.500), In at (0.152, 0.071, 0.500) and Os at (0.154, 0.397, 0.500).

=====

First-principles (PBE-GGA) data for Ce5InOs3 after structural relaxation, as listed in Alexandria via LeMat-Bulk.

The space group is C2/m (No. 12) and the conventional cell measures 12.362, 8.995 and 9.988 Å, with angles of 90.00, 111.93 and 90.00 degrees. The distinct sites, in fractional coordinates, are Ce at (0.000, 0.205, 0.000), Ce at (0.048, 0.000, 0.357), Ce at (0.170, 0.308, 0.651), Ce at (0.232, 0.500, 0.048), In at (0.088, 0.500, 0.293), Os at (0.000, 0.500, 0.000), Os at (0.000, 0.500, 0.500), Os at (0.166, 0.000, 0.168) and Os at (0.171, 0.000, 0.638).

=====

First-principles (PBE-GGA) data for Ce4In3Os2 after structural relaxation, as listed in Alexandria via LeMat-Bulk.

The space group is C2/c (No. 15) and the conventional cell measures 14.407, 8.899 and 7.737 Å, with angles of 90.00, 115.34 and 90.00 degrees. The distinct sites, in fractional coordinates, are Ce at (0.059, 0.143, 0.462), Ce at (0.221, 0.472, 0.684), In at (0.000, 0.489, 0.250), In at (0.132, 0.218, 0.923) and Os at (0.175, 0.291, 0.326).

=====

First-principles (PBE-GGA) data for Ce8InOs2 after structural relaxation, as listed in Alexandria via LeMat-Bulk.

The space group is C2/m (No. 12) and the conventional cell measures 8.417, 13.228 and 5.409 Å, with angles of 90.00, 104.25 and 90.00 degrees. The distinct sites, in fractional coordinates, are Ce at (0.000, 0.246, 0.000), Ce at (0.079, 0.000, 0.809), Ce at (0.202, 0.390, 0.558), In at (0.000, 0.500, 0.000) and Os at (0.000, 0.207, 0.500).

=====

Calculated uncorrected energy (eV/atom), listed in the same order as above: -5.98 -7.39 -6.26 -6.72